[1]
Dy2ScAs after structural relaxation. Source: Alexandria via LeMat-Bulk, functional PBE.

## Properties
ρ: 6.128 g cm⁻³
E_form: -27 kJ/mol of atoms

Lattice parameters (Å, degrees): 3.7692 3.7692 29.3918 90.00 90.00 120.00
Positions (direct):
Dy: 0.0000 0.0000 0.1078
Dy: 0.0000 0.0000 0.8922
Dy: 0.3333 0.6667 0.5589
Dy: 0.3333 0.6667 0.7745
Dy: 0.6667 0.3333 0.2255
Dy: 0.6667 0.3333 0.4411
Sc: 0.0000 0.0000 0.0000
Sc: 0.3333 0.6667 0.6667
Sc: 0.6667 0.3333 0.3333
As: 0.0000 0.0000 0.5000
As: 0.3333 0.6667 0.1667
As: 0.6667 0.3333 0.8333

***

[2]
DyScAs after structural relaxation. Source: Alexandria via LeMat-Bulk, functional PBE.

## Properties
ρ: 6.547 g cm⁻³
E_form: -61 kJ/mol of atoms

Lattice parameters (Å, degrees): 4.5328 4.5328 4.0250 90.00 90.00 120.00
Positions (direct):
Dy: 0.0000 0.0000 0.0000
Sc: 0.3333 0.6667 0.5016
As: 0.6667 0.3333 0.3776